# 1
RbSb2Mo | PBE | optimized geometry

The calculation puts the density of states at the Fermi level at 7.300 states/eV per cell. Its crystal system is cubic. The value obtained for the magnetic moment is 2.1 μB per formula unit. The excess energy over the best structure of this formula in the dataset is 1.696 eV per formula unit.

The structure belongs to space group Fm-3m (No. 225); the cell edges are 7.4227, 7.4227 and 7.4227 Å and the angles 90.00°, 90.00° and 90.00°. The distinct sites, in fractional coordinates, are Rb at (0.0000, 0.0000, 0.0000), Sb at (0.2500, 0.2500, 0.2500) and Mo at (0.0000, 0.0000, 0.5000).


# 2
Na3LaAs2O8 | PBE | optimized geometry

The calculation puts the density of states at the Fermi level at 0.000 states/eV per cell. Its crystal system is trigonal. The value obtained for the magnetic moment is 0.1 μB per formula unit.

The structure belongs to space group P-3m1 (No. 164); the cell edges are 5.9815, 5.9815 and 7.2537 Å and the angles 90.00°, 90.00° and 120.00°. The distinct sites, in fractional coordinates, are Na at (0.0000, 0.0000, 0.0000), Na at (0.3333, 0.6667, 0.6800), La at (0.0000, 0.0000, 0.5000), As at (0.3333, 0.6667, 0.2060), O at (0.1795, 0.3589, 0.3010) and O at (0.3333, 0.6667, 0.9758).


# 3
Tm8Te2Pd | PBE | optimized geometry

The calculation puts the density of states at the Fermi level at 19.018 states/eV per cell. Its crystal system is monoclinic. The value obtained for the magnetic moment is 0.0 μB per formula unit.

The structure belongs to space group C2/m (No. 12); the cell edges are 13.4565, 6.8362 and 6.9588 Å and the angles 90.00°, 98.35° and 90.00°. The distinct sites, in fractional coordinates, are Tm at (0.0437, 0.0000, 0.2783), Tm at (0.1010, 0.5000, 0.1820), Tm at (0.1637, 0.2576, 0.6532), Te at (0.2014, 0.0000, 0.0232) and Pd at (0.0000, 0.5000, 0.5000).


# 4
BaAl2Rh | PBE | optimized geometry

The calculation puts the density of states at the Fermi level at 3.847 states/eV per cell. The value obtained for the energy of formation is -0.28 eV per atom. Its crystal system is tetragonal. The value obtained for the magnetic moment is 0.0 μB per formula unit.

The structure belongs to space group P4mm (No. 99); the cell edges are 3.3846, 3.3846 and 7.7138 Å and the angles 90.00°, 90.00° and 90.00°. The distinct sites, in fractional coordinates, are Ba at (0.0000, 0.0000, 0.0000), Al at (0.0000, 0.0000, 0.4440), Al at (0.5000, 0.5000, 0.6592) and Rh at (0.5000, 0.5000, 0.3288).


# 5
Mg2Ti | PBE | optimized geometry

The calculation puts the density of states at the Fermi level at 3.954 states/eV per cell. The value obtained for the energy of formation is 0.12 eV per atom. Its crystal system is tetragonal. The value obtained for the magnetic moment is 0.9 μB per formula unit.

The structure belongs to space group I4/mmm (No. 139); the cell edges are 3.0399, 3.0399 and 13.1727 Å and the angles 90.00°, 90.00° and 90.00°. The distinct sites, in fractional coordinates, are Mg at (0.0000, 0.0000, 0.1608) and Ti at (0.0000, 0.0000, 0.5000).


# 6
DyPa3Sn12 | PBE | optimized geometry

The calculation puts the density of states at the Fermi level at 14.907 states/eV per cell. The value obtained for the energy of formation is -0.33 eV per atom. Its crystal system is tetragonal. The value obtained for the magnetic moment is 0.0 μB per formula unit.

The structure belongs to space group P4/mmm (No. 123); the cell edges are 4.6769, 4.6769 and 18.4962 Å and the angles 90.00°, 90.00° and 90.00°. The distinct sites, in fractional coordinates, are Dy at (0.0000, 0.0000, 0.0000), Pa at (0.0000, 0.0000, 0.2530), Pa at (0.0000, 0.0000, 0.5000), Sn at (0.0000, 0.5000, 0.1262), Sn at (0.0000, 0.5000, 0.3759), Sn at (0.5000, 0.5000, 0.0000), Sn at (0.5000, 0.5000, 0.2508) and Sn at (0.5000, 0.5000, 0.5000).


# 7
LiTlIO2 | PBE | optimized geometry

The calculation puts the density of states at the Fermi level at 5.226 states/eV per cell. Its crystal system is tetragonal. The value obtained for the magnetic moment is 2.8 μB per formula unit. The excess energy over the best structure of this formula in the dataset is 1.480 eV per formula unit.

The structure belongs to space group P4/mmm (No. 123); the cell edges are 4.4429, 4.4429 and 5.4826 Å and the angles 90.00°, 90.00° and 90.00°. The distinct sites, in fractional coordinates, are Li at (0.0000, 0.0000, 0.0000), Tl at (0.5000, 0.5000, 0.5000), I at (0.0000, 0.0000, 0.5000) and O at (0.0000, 0.5000, 0.0000).


# 8
ThSiTc2Ge2 | PBE | optimized geometry

The calculation puts the density of states at the Fermi level at 5.332 states/eV per cell. Its crystal system is tetragonal. The value obtained for the magnetic moment is 0.0 μB per formula unit.

The structure belongs to space group P4/mmm (No. 123); the cell edges are 4.4923, 4.4923 and 5.6292 Å and the angles 90.00°, 90.00° and 90.00°. The distinct sites, in fractional coordinates, are Th at (0.0000, 0.0000, 0.0000), Si at (0.0000, 0.0000, 0.5000), Tc at (0.0000, 0.5000, 0.5000) and Ge at (0.5000, 0.5000, 0.2303).


# 9
Pm4ErZn | PBE | optimized geometry

The calculation puts the density of states at the Fermi level at 32.153 states/eV per cell. The value obtained for the energy of formation is 0.00 eV per atom. Its crystal system is monoclinic. The value obtained for the magnetic moment is 0.0 μB per formula unit. The excess energy over the best structure of this formula in the dataset is 0.593 eV per formula unit.

The structure belongs to space group C2/c (No. 15); the cell edges are 8.9600, 13.7353 and 6.3370 Å and the angles 90.00°, 108.70° and 90.00°. The distinct sites, in fractional coordinates, are Pm at (0.1033, 0.1834, 0.0500), Pm at (0.2209, 0.3881, 0.3755), Er at (0.0000, 0.4069, 0.7500) and Zn at (0.0000, 0.9996, 0.2500).


# 10
ScBe2Al | PBE | optimized geometry

The calculation puts the density of states at the Fermi level at 6.560 states/eV per cell. The value obtained for the energy of formation is 0.08 eV per atom. Its crystal system is cubic. The value obtained for the magnetic moment is 0.0 μB per formula unit.

The structure belongs to space group F-43m (No. 216); the cell edges are 6.0412, 6.0412 and 6.0412 Å and the angles 90.00°, 90.00° and 90.00°. The distinct sites, in fractional coordinates, are Sc at (0.0000, 0.0000, 0.0000), Be at (0.0000, 0.0000, 0.5000), Be at (0.2500, 0.2500, 0.2500) and Al at (0.2500, 0.2500, 0.7500).


# 11
La3CdO | PBE | optimized geometry

The calculation puts the density of states at the Fermi level at 19.093 states/eV per cell. Its crystal system is monoclinic. The value obtained for the magnetic moment is 0.0 μB per formula unit. The excess energy over the best structure of this formula in the dataset is 0.417 eV per formula unit.

The structure belongs to space group C2/m (No. 12); the cell edges are 11.9661, 5.2817 and 9.1271 Å and the angles 90.00°, 113.15° and 90.00°. The distinct sites, in fractional coordinates, are La at (0.1089, 0.0000, 0.1941), La at (0.1393, 0.5000, 0.9292), La at (0.1480, 0.0000, 0.6609), Cd at (0.0994, 0.5000, 0.4311) and O at (0.1227, 0.0000, 0.9232).


# 12
Zn2Se | PBE | optimized geometry

The calculation puts the density of states at the Fermi level at 2.967 states/eV per cell. Its crystal system is orthorhombic. The value obtained for the magnetic moment is 0.0 μB per formula unit. The excess energy over the best structure of this formula in the dataset is 0.257 eV per formula unit.

The structure belongs to space group Pnma (No. 62); the cell edges are 6.2291, 5.9613 and 6.6545 Å and the angles 90.00°, 90.00° and 90.00°. The distinct sites, in fractional coordinates, are Zn at (0.0927, 0.2500, 0.1641), Zn at (0.2433, 0.2500, 0.5192) and Se at (0.1374, 0.7500, 0.3760).


no.,uncorrected energy (eV per atom)
1,-4.38
2,-6.03
3,-4.75
4,-4.47
5,-3.58
6,-5.40
7,-3.14
8,-7.36
9,-4.14
10,-4.30
11,-5.35
12,-2.12